## CaNdYHg (PBE-GGA)

Data for crystalline CaNdYHg at its relaxed geometry.

The structure in extended XYZ format:
```
4
Lattice="-0.065 -3.269 1.639 3.573 -0.406 -0.669 2.006 4.085 8.227" Properties=species:S:1:pos:R:3 pbc="T T T"
Ca 3.308 1.327 6.859
Nd 0.183 0.372 0.749
Y 2.474 -0.372 3.438
Hg 1.123 2.287 4.606
```

Properties
E, eV/atom: -3.6267


## CaSb2TeS (PBE-GGA)

Data for crystalline CaSb2TeS at its relaxed geometry.

The structure in extended XYZ format:
```
5
Lattice="-5.128 -1.965 -1.887 2.029 -5.438 0.147 -1.756 -0.512 5.307" Properties=species:S:1:pos:R:3 pbc="T T T"
Sb 1.015 -2.719 0.074
Sb -2.564 -0.982 -0.943
Ca 0.000 0.000 0.000
Te -0.878 -0.256 2.653
S -2.428 -3.957 1.784
```

Properties
ΔE to the lowest computed polymorph, meV per atom: 870
Formation energy from raw total energies, eV per formula unit: 3.936
E, eV/atom: -2.7159


## U2P3Pd2 (PBE-GGA)

Data for crystalline U2P3Pd2 at its relaxed geometry.

The structure in extended XYZ format:
```
14
Lattice="3.814 0.000 0.846 1.754 7.074 1.115 -0.111 -0.037 9.527" Properties=species:S:1:pos:R:3 pbc="T T T"
U 1.210 0.988 3.570
U 4.248 6.048 7.918
U 1.859 1.695 9.669
U 3.599 5.342 1.819
P 1.935 6.653 9.323
P 3.522 0.383 2.165
P 1.491 3.465 2.300
P 3.966 3.572 9.188
P 2.737 5.495 5.707
P 2.720 1.542 5.781
Pd 0.491 1.517 6.811
Pd 4.966 5.520 4.677
Pd 2.401 3.561 7.223
Pd 3.057 3.476 4.264
```

Properties
E, eV/atom: -7.7855


## VFeIr3 (PBE-GGA)

Data for crystalline VFeIr3 at its relaxed geometry.

The structure in extended XYZ format:
```
5
Lattice="-2.452 3.006 -2.281 -3.739 -1.566 1.955 0.512 2.960 3.350" Properties=species:S:1:pos:R:3 pbc="T T T"
Ir -1.869 -0.783 0.977
Ir 0.256 1.480 1.675
Ir -1.226 1.503 -1.141
Fe -2.839 2.200 1.512
V 0.000 0.000 0.000
```

Properties
ΔE to the lowest computed polymorph, meV per atom: 1573
E, eV/atom: -7.5377


> Look up the E of the first one.

-3.6267 eV/atom


What did the fourth record say?
## VFeIr3 (PBE-GGA)

Data for crystalline VFeIr3 at its relaxed geometry.

The structure in extended XYZ format:
```
5
Lattice="-2.452 3.006 -2.281 -3.739 -1.566 1.955 0.512 2.960 3.350" Properties=species:S:1:pos:R:3 pbc="T T T"
Ir -1.869 -0.783 0.977
Ir 0.256 1.480 1.675
Ir -1.226 1.503 -1.141
Fe -2.839 2.200 1.512
V 0.000 0.000 0.000
```

Properties
ΔE to the lowest computed polymorph, meV per atom: 1573
E, eV/atom: -7.5377


> The lowest E belongs to which entry?

U2P3Pd2


> The highest E belongs to which entry?

CaSb2TeS